A relaxed ZrAlSe2 crystal. Source: Alexandria, functional GGA-PBE.

Calculated values
As for the uncorrected formation energy: -524 meV/atom. The size of the total moment is 0.000 Bohr magnetons per cell. The uncorrected energy comes out at -42.712 eV per cell. The calculation puts the density of states at the Fermi level at 5.102 states/eV per cell.

Lattice parameters (Å, degrees): 6.7094 6.6729 3.3819 90.00 90.28 90.00
Space group C2/m (No. 12)
Asymmetric unit:
Zr (0.0000, 0.0000, 0.0000)
Al (0.0000, 0.5000, 0.0000)
Se (0.2500, 0.2500, 0.5000)


A relaxed Tl2PtCl2F4 crystal. Source: Alexandria, functional GGA-PBE.

Calculated values
As for the uncorrected formation energy: -1346 meV/atom. The size of the total moment is 0.000 Bohr magnetons per cell. The uncorrected energy comes out at -68.136 eV per cell.

Lattice parameters (Å, degrees): 11.4746 6.3349 5.3875 90.00 91.40 90.00
Space group C2/m (No. 12)
Asymmetric unit:
Tl (0.1379, 0.0000, 0.1967)
Pt (0.0000, 0.5000, 0.5000)
Cl (0.1825, 0.5000, 0.3196)
F (0.0542, 0.2678, 0.7235)


A relaxed Ce2NbB2Ru5 crystal. Source: Alexandria, functional GGA-PBE.

Calculated values
As for the formation energy: -0.491 eV/atom. The size of the total moment is 0.000 Bohr magnetons per cell. The uncorrected energy comes out at -173.166 eV per cell. The calculation puts the density of states at the Fermi level at 10.180 states/eV per cell.

Lattice parameters (Å, degrees): 9.8027 9.8027 3.1210 90.00 90.00 90.00
Space group P4/mbm (No. 127)
Asymmetric unit:
Ce (0.1763, 0.3237, 0.0000)
Nb (0.0000, 0.0000, 0.0000)
B (0.1203, 0.6203, 0.0000)
Ru (0.0000, 0.5000, 0.5000)
Ru (0.0700, 0.7795, 0.5000)


A relaxed HfAl4 crystal. Source: Alexandria, functional GGA-PBE.

Calculated values
The calculation puts the polymorph energy (0 for the lowest one) at 1.022 eV/atom. As for the formation energy: 1.083 eV/atom. The size of the total moment is 0.790 Bohr magnetons per cell. The uncorrected energy comes out at -19.507 eV per cell. The calculation puts the density of states at the Fermi level at 6.648 states/eV per cell.

Lattice parameters (Å, degrees): 5.2765 5.2765 5.2765 90.00 90.00 90.00
Space group Pm-3m (No. 221)
Asymmetric unit:
Hf (0.0000, 0.0000, 0.0000)
Al (0.0000, 0.0000, 0.5000)
Al (0.5000, 0.5000, 0.5000)